Material: Ta3P
Method: DFT, SCAN
State: single point on PBEsol structure

Unit cell a=2.9048 b=4.4984 c=5.0795 alpha=90.00 beta=90.78 gamma=90.00
Fractional coordinates of all 4 atoms:
Ta 0.1762 0.5000 0.7518
Ta 0.5000 0.0000 0.5000
P 0.0000 0.0000 0.0000
Ta 0.8238 0.5000 0.2482

Results
The total energy comes out at -3.8663 Ry/atom. The total magnetization is 0.00 Bohr magnetons per cell. Its space-group type is No. 10.



Material: Ta3P
Method: DFT, SCAN
State: single point on PBEsol structure

Unit cell a=5.0156 b=10.0870 c=10.0870 alpha=90.00 beta=90.00 gamma=90.00
Fractional coordinates of all 32 atoms:
Ta 0.5144 0.0889 0.4039
P 0.7630 0.9841 0.2072
Ta 0.0058 0.1941 0.2914
Ta 0.2397 0.5080 0.3543
Ta 0.2603 0.9920 0.1457
Ta 0.5058 0.7914 0.3059
Ta 0.5144 0.9111 0.5961
P 0.2630 0.7072 0.5159
P 0.2370 0.2072 0.0159
Ta 0.2397 0.4920 0.6457
P 0.7630 0.0159 0.7928
Ta 0.9942 0.7086 0.1941
Ta 0.5058 0.2086 0.6941
Ta 0.9856 0.5889 0.9039
Ta 0.0144 0.0961 0.5889
Ta 0.4942 0.3059 0.2086
Ta 0.2603 0.0080 0.8543
Ta 0.0144 0.9039 0.4111
P 0.7370 0.4841 0.7072
Ta 0.7397 0.1457 0.0080
Ta 0.4942 0.6941 0.7914
Ta 0.9942 0.2914 0.8059
P 0.2370 0.7928 0.9841
Ta 0.0058 0.8059 0.7086
P 0.7370 0.5159 0.2928
Ta 0.4856 0.5961 0.0889
Ta 0.7397 0.8543 0.9920
Ta 0.7603 0.6457 0.5080
Ta 0.9856 0.4111 0.0961
Ta 0.7603 0.3543 0.4920
P 0.2630 0.2928 0.4841
Ta 0.4856 0.4039 0.9111

Results
The total energy comes out at -3.9070 Ry/atom. The total magnetization is 0.00 Bohr magnetons per cell. Its space-group type is No. 86.



Material: Ta3P
Method: DFT, SCAN
State: single point on PBEsol structure

Unit cell a=3.8300 b=3.8300 c=5.1695 alpha=111.74 beta=111.74 gamma=90.00
Fractional coordinates of all 4 atoms:
P 0.0000 0.0000 0.0000
Ta 0.2500 0.7500 0.5000
Ta 0.5000 0.5000 0.0000
Ta 0.7500 0.2500 0.5000

Results
The total energy comes out at -3.8674 Ry/atom. The total magnetization is 0.00 Bohr magnetons per cell. Its space-group type is No. 139.



Material: TaTc4P
Method: DFT, SCAN
State: single point on PBEsol structure

Unit cell a=5.0386 b=5.0386 c=5.0386 alpha=60.00 beta=60.00 gamma=60.00
Fractional coordinates of all 6 atoms:
P 0.7500 0.7500 0.7500
Tc 0.8719 0.3760 0.3760
Tc 0.3760 0.8719 0.3760
Tc 0.3760 0.3760 0.3760
Ta 0.0000 0.0000 0.0000
Tc 0.3760 0.3760 0.8719

Results
The total energy comes out at -2.6363 Ry/atom. The total magnetization is 0.00 Bohr magnetons per cell. Its space-group type is No. 216.